A plane-wave DFT calculation with PBE was carried out for a geometry-optimized Tb2TmTl3Te6 structure.

Computed properties:
Crystal system: monoclinic
Formation energy (no corrections) (eV per atom): -1.05
VASP energy (eV per formula unit): -52.27
Magnetic moment (μB/atom): 0.00

Lattice parameters (Å, degrees): 7.702 7.702 8.581 98.61 98.61 119.99
Fractional coordinates of all 12 atoms:
Tb 0.166 0.834 0.000
Tb 0.834 0.166 0.000
Tm 0.500 0.500 0.000
Tl 0.000 0.000 0.500
Tl 0.332 0.668 0.500
Tl 0.668 0.332 0.500
Te 0.100 0.429 0.788
Te 0.242 0.242 0.214
Te 0.429 0.100 0.788
Te 0.571 0.900 0.212
Te 0.758 0.758 0.786
Te 0.900 0.571 0.212

***

A plane-wave DFT calculation with PBE was carried out for a geometry-optimized Cs2TiRh structure.

Computed properties:
DOS at the Fermi energy (states/eV/cell): 10.91
Crystal system: tetragonal
VASP energy (eV per formula unit): -14.38
Magnetic moment (μB/atom): 0.44
Formation energy (eV/f.u.): 2.6

Lattice parameters (Å, degrees): 10.031 10.031 10.031 93.02 93.02 153.46
Fractional coordinates of all 8 atoms:
Cs 0.375 0.049 0.174
Cs 0.799 0.625 0.674
Cs 0.875 0.201 0.826
Cs 0.951 0.125 0.326
Ti 0.250 0.750 0.500
Ti 0.500 0.500 0.000
Rh 0.000 0.000 0.000
Rh 0.750 0.250 0.500

***

A plane-wave DFT calculation with PBE was carried out for a geometry-optimized PuVSn2 structure.

Computed properties:
DOS at the Fermi energy (states/eV/cell): 8.33
Crystal system: trigonal
VASP energy (eV per formula unit): -30.33
Magnetic moment (μB/atom): 1.38
Formation energy (eV/f.u.): 1.1

Lattice parameters (Å, degrees): 10.991 10.991 10.991 16.49 16.49 16.49
Fractional coordinates of all 4 atoms:
Pu 0.000 0.000 0.000
V 0.500 0.500 0.500
Sn 0.099 0.099 0.099
Sn 0.901 0.901 0.901

***

A plane-wave DFT calculation with PBE was carried out for a geometry-optimized TbYSc2Bi4 structure.

Computed properties:
DOS at the Fermi energy (states/eV/cell): 1.47
Crystal system: monoclinic
VASP energy (eV per formula unit): -45.44
Magnetic moment (μB/atom): 0.00
Formation energy (eV/f.u.): -6.2

Lattice parameters (Å, degrees): 7.579 4.380 7.587 90.00 109.48 90.00
Fractional coordinates of all 8 atoms:
Tb 0.000 0.000 0.000
Y 0.000 0.500 0.500
Sc 0.500 0.000 0.500
Sc 0.500 0.500 0.000
Bi 0.265 0.000 0.755
Bi 0.266 0.500 0.255
Bi 0.734 0.500 0.745
Bi 0.735 0.000 0.245

***

A plane-wave DFT calculation with PBE was carried out for a geometry-optimized K2CrSe structure.

Computed properties:
DOS at the Fermi energy (states/eV/cell): 1.92
Crystal system: tetragonal
Formation energy (no corrections) (eV per atom): -0.07
VASP energy (eV per formula unit): -15.59
Magnetic moment (μB/atom): 1.13

Lattice parameters (Å, degrees): 3.786 3.786 10.094 90.00 90.00 90.00
Fractional coordinates of all 4 atoms:
K 0.000 0.000 0.000
K 0.500 0.500 0.387
Cr 0.500 0.500 0.710
Se 0.000 0.000 0.668

***

A plane-wave DFT calculation with PBE was carried out for a geometry-optimized BaCe2EuO6 structure.

Computed properties:
Energy above the most stable polymorph in this dataset (meV/atom): 70
DOS at the Fermi energy (states/eV/cell): 13.49
Crystal system: orthorhombic
Formation energy (no corrections) (eV per atom): -3.11
VASP energy (eV per formula unit): -84.93
Magnetic moment (μB/atom): 0.71

Lattice parameters (Å, degrees): 6.165 6.165 4.476 90.00 90.00 90.73
Fractional coordinates of all 10 atoms:
Ba 0.000 0.000 0.000
Ce 0.000 0.500 0.500
Ce 0.500 0.000 0.500
Eu 0.500 0.500 0.000
O 0.000 0.500 0.000
O 0.184 0.816 0.500
O 0.325 0.325 0.500
O 0.500 0.000 0.000
O 0.675 0.675 0.500
O 0.816 0.184 0.500